PBE-GGA CaZrTl2, optimized geometry; E_tot = -3.871 eV/atom; mass density = 8.14 g/cm3; E_form = -0.203 eV per formula unit
1.0
5.159 -0.012 0.005
4.032 3.219 0.005
0.917 0.320 6.618
Tl Ca Zr
2 1 1
direct
0.001 0.001 0.972
0.499 0.499 0.528
0.250 0.250 0.250
0.750 0.750 0.750